No. 1
A plane-wave DFT calculation with PBE was carried out for crystalline YTm2Pb5 at its relaxed geometry.

Unit cell a=6.6745 b=6.6745 c=6.6745 alpha=106.80 beta=106.80 gamma=114.96
Last column: nearest neighbours and their distance in Å.
Fractional coordinates of all 8 atoms:
Y  0.7784  0.7783  0.0000  10 Pb 3.34-3.59
Tm  0.2778  0.7779  0.5002  8 Pb 3.34, 2 Tm 3.59
Tm  0.7776  0.2777  0.4998  8 Pb 3.34, 2 Tm 3.59
Pb  0.2780  0.2782  0.5004  4 Pb 3.34-3.59, 4 Tm 3.34, 2 Y 3.34
Pb  0.2781  0.7776  0.0000  4 Tm 3.34, 4 Pb 3.34-3.59, 2 Y 3.34
Pb  0.7779  0.2781  0.0000  4 Pb 3.34-3.59, 2 Y 3.34, 4 Tm 3.34
Pb  0.7776  0.7778  0.4996  4 Pb 3.34-3.59, 4 Tm 3.34, 2 Y 3.34
Pb  0.2777  0.2775  0.0000  8 Pb 3.34, 2 Y 3.58-3.59

Summary:
* density of states at the Fermi level: 5.9 states/eV/cell
* E_tot: -36.38 eV/cell

No. 2
A plane-wave DFT calculation with PBE was carried out for crystalline Y4Tm4Pb at its relaxed geometry.

Unit cell a=4.7461 b=7.9594 c=7.9594 alpha=84.90 beta=72.65 gamma=72.65
Last column: nearest neighbours and their distance in Å.
Fractional coordinates of all 9 atoms:
Y  0.6621  0.6757  0.0000  2 Pb 3.42, 4 Y 3.48-3.57, 6 Tm 3.51-3.63
Y  0.3379  0.3243  0.0000  2 Pb 3.42, 4 Y 3.48-3.57, 6 Tm 3.51-3.63
Y  0.6621  0.0000  0.6757  2 Pb 3.42, 4 Y 3.48-3.57, 6 Tm 3.51-3.63
Y  0.3379  0.0000  0.3243  2 Pb 3.42, 4 Y 3.48-3.57, 6 Tm 3.51-3.63
Tm  0.6600  0.3400  0.3400  5 Tm 3.40-3.44, 6 Y 3.51-3.63, 1 Pb 3.65
Tm  0.3400  0.6600  0.6600  5 Tm 3.40-3.44, 6 Y 3.51-3.63, 1 Pb 3.65
Tm  0.0000  0.6600  0.3400  5 Tm 3.40-3.44, 6 Y 3.51-3.63, 1 Pb 3.65
Tm  0.0000  0.3400  0.6600  5 Tm 3.40-3.44, 6 Y 3.51-3.63, 1 Pb 3.65
Pb  0.0000  0.0000  0.0000  8 Y 3.42, 4 Tm 3.65

Summary:
* density of states at the Fermi level: 15.0 states/eV/cell
* E_tot: -48.28 eV/cell

No. 3
A plane-wave DFT calculation with PBE was carried out for crystalline YTm5Pb6 at its relaxed geometry.

Unit cell a=8.5846 b=6.0676 c=8.1833 alpha=68.24 beta=79.43 gamma=60.33
Last column: nearest neighbours and their distance in Å.
Fractional coordinates of all 12 atoms:
Y  0.0000  0.0000  0.0000  6 Pb 3.20-3.21
Tm  0.5000  0.1646  0.6708  6 Pb 3.17-3.18
Tm  0.0000  0.3321  0.3358  6 Pb 3.16-3.19
Tm  0.5000  0.5000  0.0000  6 Pb 3.16-3.18
Tm  0.0000  0.6679  0.6642  6 Pb 3.16-3.19
Tm  0.5000  0.8354  0.3292  6 Pb 3.17-3.18
Pb  0.7471  0.0856  0.3357  5 Tm 3.16-3.19, 1 Y 3.21
Pb  0.2529  0.5787  0.3357  5 Tm 3.16-3.19, 1 Y 3.21
Pb  0.2479  0.2573  0.0000  5 Tm 3.16-3.18, 1 Y 3.20
Pb  0.7521  0.7427  0.0000  5 Tm 3.16-3.18, 1 Y 3.20
Pb  0.7471  0.4213  0.6643  5 Tm 3.16-3.19, 1 Y 3.21
Pb  0.2529  0.9144  0.6643  5 Tm 3.16-3.19, 1 Y 3.21

Summary:
* density of states at the Fermi level: 7.1 states/eV/cell
* E_tot: -55.78 eV/cell

No. 4
A plane-wave DFT calculation with PBE was carried out for crystalline YTm4Pb at its relaxed geometry.

Unit cell a=4.6787 b=12.7657 c=10.5913 alpha=146.06 beta=90.00 gamma=90.00
Last column: nearest neighbours and their distance in Å.
Fractional coordinates of all 12 atoms:
Y  0.5000  0.2500  0.7500  10 Tm 3.42-3.59, 2 Y 3.56
Y  0.5000  0.7500  0.2500  10 Tm 3.42-3.59, 2 Y 3.56
Tm  0.5001  0.7504  0.5892  4 Pb 3.40, 7 Tm 3.42-3.56, 1 Y 3.59
Tm  0.5001  0.7496  0.9108  4 Pb 3.40, 7 Tm 3.42-3.56, 1 Y 3.59
Tm  0.0000  0.9998  0.3353  4 Y 3.42, 7 Tm 3.47-3.56, 1 Pb 3.55
Tm  0.0000  0.5002  0.1647  4 Y 3.42, 7 Tm 3.47-3.56, 1 Pb 3.55
Tm  0.0000  0.0002  0.6647  4 Y 3.42, 7 Tm 3.47-3.56, 1 Pb 3.55
Tm  0.0000  0.4998  0.8353  4 Y 3.42, 7 Tm 3.47-3.56, 1 Pb 3.55
Tm  0.4999  0.2504  0.0892  4 Pb 3.40, 7 Tm 3.42-3.56, 1 Y 3.59
Tm  0.4999  0.2496  0.4108  4 Pb 3.40, 7 Tm 3.42-3.56, 1 Y 3.59
Pb  0.0000  0.5000  0.5000  10 Tm 3.40-3.55, 2 Pb 3.56
Pb  0.0000  0.0000  0.0000  10 Tm 3.40-3.55, 2 Pb 3.56

Summary:
* density of states at the Fermi level: 13.6 states/eV/cell
* E_tot: -57.65 eV/cell

No. 5
A plane-wave DFT calculation with PBE was carried out for crystalline YTm3Pb at its relaxed geometry.

Unit cell a=8.4867 b=8.8732 c=9.4447 alpha=121.60 beta=90.00 gamma=90.00
Last column: nearest neighbours and their distance in Å.
Fractional coordinates of all 20 atoms:
Y  0.9378  0.7068  0.2886  2 Pb 3.11-3.41, 4 Tm 3.36-3.43
Y  0.0622  0.2932  0.7114  2 Pb 3.11-3.41, 4 Tm 3.36-3.43
Y  0.4378  0.2932  0.2114  2 Pb 3.11-3.41, 4 Tm 3.36-3.43
Y  0.5622  0.7068  0.7886  2 Pb 3.11-3.41, 4 Tm 3.36-3.43
Tm  0.0881  0.0915  0.2961  2 Pb 3.08, 1 Y 3.36, 1 Tm 3.37
Tm  0.9119  0.9085  0.7039  2 Pb 3.08, 1 Y 3.36, 1 Tm 3.37
Tm  0.5881  0.9085  0.2039  2 Pb 3.08, 1 Y 3.36, 1 Tm 3.37
Tm  0.4119  0.0915  0.7961  2 Pb 3.08, 1 Y 3.36, 1 Tm 3.37
Tm  0.5640  0.7187  0.4325  2 Pb 3.08-3.33, 1 Tm 3.37, 3 Y 3.39-3.43
Tm  0.4360  0.2813  0.5675  2 Pb 3.08-3.33, 1 Tm 3.37, 3 Y 3.39-3.43
Tm  0.0640  0.2813  0.0675  2 Pb 3.08-3.33, 1 Tm 3.37, 3 Y 3.39-3.43
Tm  0.9360  0.7187  0.9325  2 Pb 3.08-3.33, 1 Tm 3.37, 3 Y 3.39-3.43
Tm  0.1915  0.5766  0.5390  2 Pb 3.43-3.47, 5 Tm 3.45-3.77, 4 Y 3.48-3.80
Tm  0.8085  0.4234  0.4610  2 Pb 3.43-3.47, 5 Tm 3.45-3.77, 4 Y 3.48-3.80
Tm  0.6915  0.4234  0.9610  2 Pb 3.43-3.47, 5 Tm 3.45-3.77, 4 Y 3.48-3.80
Tm  0.3085  0.5766  0.0390  2 Pb 3.43-3.47, 5 Tm 3.45-3.77, 4 Y 3.48-3.80
Pb  0.2501  0.9034  0.4532  5 Tm 3.08-3.43, 2 Y 3.11-3.41
Pb  0.7499  0.0966  0.5468  5 Tm 3.08-3.43, 2 Y 3.11-3.41
Pb  0.7501  0.0966  0.0468  5 Tm 3.08-3.43, 2 Y 3.11-3.41
Pb  0.2499  0.9034  0.9532  5 Tm 3.08-3.43, 2 Y 3.11-3.41

Summary:
* density of states at the Fermi level: 24.4 states/eV/cell
* E_tot: -97.04 eV/cell

No. 6
A plane-wave DFT calculation with PBE was carried out for crystalline Y2Tm5Pb4 at its relaxed geometry.

Unit cell a=3.4715 b=8.2825 c=14.2996 alpha=124.06 beta=96.97 gamma=90.00
Last column: nearest neighbours and their distance in Å.
Fractional coordinates of all 11 atoms:
Y  0.7304  0.6344  0.4607  1 Pb 3.28, 6 Tm 3.38-3.57, 4 Y 3.47
Y  0.2696  0.3656  0.5393  1 Pb 3.28, 6 Tm 3.38-3.57, 4 Y 3.47
Tm  0.1805  0.8720  0.3610  3 Pb 3.35-3.42, 3 Y 3.38-3.47, 5 Tm 3.47-3.70
Tm  0.8195  0.1280  0.6390  3 Pb 3.35-3.42, 3 Y 3.38-3.47, 5 Tm 3.47-3.70
Tm  0.1286  0.1940  0.2573  3 Pb 3.15-3.35, 1 Y 3.41, 4 Tm 3.47-3.51
Tm  0.5000  0.0000  0.0000  6 Pb 3.19-3.49, 6 Tm 3.47-3.51
Tm  0.8714  0.8060  0.7427  3 Pb 3.15-3.35, 1 Y 3.41, 4 Tm 3.47-3.51
Pb  0.5941  0.4597  0.1883  5 Tm 3.19-3.35, 1 Y 3.28, 2 Pb 3.47
Pb  0.0421  0.7357  0.0842  4 Tm 3.15-3.49, 3 Pb 3.23-3.47
Pb  0.4059  0.5403  0.8117  5 Tm 3.19-3.35, 1 Y 3.28, 2 Pb 3.47
Pb  0.9579  0.2643  0.9158  4 Tm 3.15-3.49, 3 Pb 3.23-3.47

Summary:
* density of states at the Fermi level: 15.5 states/eV/cell
* E_tot: -50.41 eV/cell

No. 7
A plane-wave DFT calculation with PBE was carried out for crystalline YTmPb2 at its relaxed geometry.

Unit cell a=9.2401 b=5.8426 c=10.3987 alpha=95.35 beta=109.00 gamma=114.99
Last column: nearest neighbours and their distance in Å.
Fractional coordinates of all 16 atoms:
Y  0.3114  0.0614  0.1227  6 Pb 3.21-3.23
Y  0.6886  0.9386  0.8773  6 Pb 3.21-3.23
Y  0.0642  0.8142  0.6283  6 Pb 3.20-3.24
Y  0.9358  0.1858  0.3717  6 Pb 3.20-3.24
Tm  0.4393  0.6893  0.3786  6 Pb 3.18-3.19
Tm  0.1865  0.4365  0.8729  6 Pb 3.18-3.20
Tm  0.5607  0.3107  0.6214  6 Pb 3.18-3.19
Tm  0.8135  0.5635  0.1271  6 Pb 3.18-3.20
Pb  0.5584  0.8014  0.1251  3 Tm 3.18-3.20, 3 Y 3.20-3.23
Pb  0.0667  0.3238  0.1251  3 Tm 3.18-3.20, 3 Y 3.20-3.23
Pb  0.4416  0.1986  0.8749  3 Tm 3.18-3.20, 3 Y 3.20-3.23
Pb  0.9333  0.6762  0.8749  3 Tm 3.18-3.20, 3 Y 3.20-3.23
Pb  0.3126  0.5572  0.6251  3 Tm 3.18-3.19, 3 Y 3.22-3.24
Pb  0.1875  0.9321  0.3749  3 Tm 3.18-3.19, 3 Y 3.22-3.24
Pb  0.6874  0.4428  0.3749  3 Tm 3.18-3.19, 3 Y 3.22-3.24
Pb  0.8125  0.0679  0.6251  3 Tm 3.18-3.19, 3 Y 3.22-3.24

Summary:
* density of states at the Fermi level: 10.2 states/eV/cell
* E_tot: -80.32 eV/cell

No. 8
A plane-wave DFT calculation with PBE was carried out for crystalline Y2TmPb at its relaxed geometry.

Unit cell a=3.5354 b=3.5354 c=12.1439 alpha=81.63 beta=81.63 gamma=60.00
Last column: nearest neighbours and their distance in Å.
Fractional coordinates of all 4 atoms:
Pb  0.0000  0.0000  0.0000  2 Y 3.17, 6 Pb 3.54
Y  0.0883  0.0883  0.7350  1 Pb 3.17, 3 Tm 3.48, 6 Y 3.54
Y  0.9117  0.9117  0.2650  1 Pb 3.17, 3 Tm 3.48, 6 Y 3.54
Tm  0.5000  0.5000  0.5000  6 Y 3.48, 6 Tm 3.54

Summary:
* density of states at the Fermi level: 4.6 states/eV/cell
* E_tot: -20.92 eV/cell
* relative energy among the computed polymorphs: 1.26 eV per formula unit

No. 9
A plane-wave DFT calculation with PBE was carried out for crystalline Y3Tm4Pb4 at its relaxed geometry.

Unit cell a=4.1652 b=9.3877 c=9.9219 alpha=118.23 beta=102.12 gamma=90.00
Last column: nearest neighbours and their distance in Å.
Fractional coordinates of all 11 atoms:
Y  0.1096  0.1096  0.2193  6 Pb 3.18-3.41
Y  0.8904  0.8904  0.7807  6 Pb 3.18-3.41
Y  0.0000  0.5000  0.0000  4 Pb 3.44
Tm  0.3294  0.1344  0.6589  4 Pb 3.03-3.17
Tm  0.6706  0.4755  0.3411  4 Pb 3.03-3.17
Tm  0.6706  0.8656  0.3411  4 Pb 3.03-3.17
Tm  0.3294  0.5245  0.6589  4 Pb 3.03-3.17
Pb  0.2492  0.7492  0.4984  6 Tm 3.08-3.17, 2 Y 3.18
Pb  0.7508  0.2508  0.5016  6 Tm 3.08-3.17, 2 Y 3.18
Pb  0.5000  0.7914  0.0000  2 Tm 3.03
Pb  0.5000  0.2086  0.0000  2 Tm 3.03

Summary:
* density of states at the Fermi level: 11.5 states/eV/cell
* E_tot: -55.81 eV/cell

No. 10
A plane-wave DFT calculation with PBE was carried out for crystalline YTmZnPb at its relaxed geometry.

Unit cell a=5.2146 b=5.2146 c=5.2146 alpha=60.00 beta=60.00 gamma=60.00
Last column: nearest neighbours and their distance in Å.
Fractional coordinates of all 4 atoms:
Pb  0.2500  0.2500  0.2500  4 Tm 3.19, 4 Y 3.19
Y  0.5000  0.5000  0.5000  4 Zn 3.19, 4 Pb 3.19
Zn  0.7500  0.7500  0.7500  4 Y 3.19, 4 Tm 3.19
Tm  0.0000  0.0000  0.0000  4 Pb 3.19, 4 Zn 3.19

Summary:
* density of states at the Fermi level: 2.8 states/eV/cell
* E_tot: -17.34 eV/cell

No. 11
A plane-wave DFT calculation with PBE was carried out for crystalline Tm6Zn5Pb at its relaxed geometry.

Unit cell a=5.0399 b=7.1206 c=8.0128 alpha=90.00 beta=71.80 gamma=90.00
Last column: nearest neighbours and their distance in Å.
Fractional coordinates of all 12 atoms:
Pb  0.0000  0.0000  0.0000  8 Tm 3.14-3.20
Zn  0.6650  0.5000  0.6704  8 Tm 3.02-3.05
Zn  0.3256  0.0000  0.3487  8 Tm 2.97-3.25
Zn  0.0000  0.5000  0.0000  8 Tm 3.04-3.13
Zn  0.6744  0.0000  0.6513  8 Tm 2.97-3.25
Zn  0.3350  0.5000  0.3296  8 Tm 3.02-3.05
Tm  0.8276  0.7415  0.3442  7 Zn 2.97-3.13, 1 Pb 3.20
Tm  0.8276  0.2585  0.3442  7 Zn 2.97-3.13, 1 Pb 3.20
Tm  0.5000  0.2622  0.0000  6 Zn 3.03-3.25, 2 Pb 3.14, 1 Tm 3.39
Tm  0.5000  0.7378  0.0000  6 Zn 3.03-3.25, 2 Pb 3.14, 1 Tm 3.39
Tm  0.1724  0.7415  0.6558  7 Zn 2.97-3.13, 1 Pb 3.20
Tm  0.1724  0.2585  0.6558  7 Zn 2.97-3.13, 1 Pb 3.20

Summary:
* density of states at the Fermi level: 9.9 states/eV/cell
* E_tot: -41.12 eV/cell

No. 12
A plane-wave DFT calculation with PBE was carried out for crystalline Tm2Zn3Pb at its relaxed geometry.

Unit cell a=5.7940 b=5.7940 c=8.6799 alpha=104.24 beta=104.24 gamma=105.25
Last column: nearest neighbours and their distance in Å.
Fractional coordinates of all 12 atoms:
Tm  0.2500  0.7500  0.5000  4 Pb 3.19, 8 Zn 3.24, 2 Tm 3.52
Tm  0.7573  0.7573  0.0000  10 Zn 3.04-3.26, 2 Pb 3.19
Tm  0.7500  0.2500  0.5000  4 Pb 3.19, 8 Zn 3.24, 2 Tm 3.52
Tm  0.2427  0.2427  0.0000  10 Zn 3.04-3.26, 2 Pb 3.19
Zn  0.6820  0.1604  0.8424  2 Zn 2.50-2.54, 1 Pb 2.77
Zn  0.8396  0.3180  0.1576  2 Zn 2.50-2.54, 1 Pb 2.77
Zn  0.3180  0.8396  0.1576  2 Zn 2.50-2.54, 1 Pb 2.77
Zn  0.1604  0.6820  0.8424  2 Zn 2.50-2.54, 1 Pb 2.77
Zn  0.8412  0.8412  0.6823  2 Zn 2.54, 1 Pb 2.79
Zn  0.1588  0.1588  0.3177  2 Zn 2.54, 1 Pb 2.79
Pb  0.3344  0.3344  0.6688  3 Zn 2.77-2.79
Pb  0.6656  0.6656  0.3312  3 Zn 2.77-2.79

Summary:
* density of states at the Fermi level: 7.5 states/eV/cell
* E_tot: -37.02 eV/cell